# GGA-PBE Pr2ScZn9, optimized geometry
data_Pr2ScZn9
_chemical_formula_sum 'Pr6 Sc3 Zn27'
_cell_length_a 5.4586
_cell_length_b 5.4586
_cell_length_c 26.2003
_cell_angle_alpha 90.00
_cell_angle_beta 90.00
_cell_angle_gamma 120.00
_space_group_name_H-M_alt 'R -3 m'
_space_group_IT_number 166
_space_group_name_Hall '-R 3 2"'
loop_
_atom_site_label
_atom_site_fract_x
_atom_site_fract_y
_atom_site_fract_z
Pr1 0.0000 0.0000 0.1393
Sc1 0.0000 0.0000 0.0000
Zn1 0.0000 0.0000 0.3345
Zn2 0.0000 0.0000 0.5000
Zn3 0.0035 0.5018 0.9208
# **Fermi-level density of states**: 18.5 states/eV per cell
# **Formation enthalpy at 0 K**: -0.238 eV/atom
# **Electronic total energy**: -90.62 eV per cell
# **Size of the total moment**: 0.000 μB/atom
# **Crystal system**: trigonal